{"formula": "LiCuPt2", "functional": "GGA-PBE", "state": "relaxed", "total_magnetization_mub_per_fu": 0.000, "e_form_ev_per_atom": -0.32, "cell": [[1.3977, -2.3152, 0.0000], [1.3977, 2.3152, 0.0000], [0.0000, 0.0000, 8.8137]], "species": ["Li", "Cu", "Pt", "Pt"], "frac_coords": [[0.0000, 0.0000, 0.0000], [0.0000, 0.0000, 0.5000], [0.5000, 0.5000, 0.2477], [0.5000, 0.5000, 0.7523]]}

=====

{"formula": "Li2Cu6Pt", "functional": "GGA-PBE", "state": "relaxed", "total_magnetization_mub_per_fu": 0.000, "e_form_ev_per_atom": -0.06, "cell": [[3.7852, -2.4776, 0.0000], [3.7852, 2.4776, 0.0000], [-1.8449, 0.0000, 6.4398]], "species": ["Li", "Li", "Cu", "Cu", "Cu", "Cu", "Cu", "Cu", "Pt"], "frac_coords": [[0.1737, 0.1737, 0.0798], [0.8263, 0.8263, 0.9202], [0.2007, 0.7113, 0.3099], [0.2553, 0.2553, 0.5208], [0.2887, 0.7993, 0.6901], [0.7113, 0.2007, 0.3099], [0.7447, 0.7447, 0.4792], [0.7993, 0.2887, 0.6901], [0.5000, 0.5000, 0.0000]]}

=====

{"formula": "Li3CuPt3", "functional": "GGA-PBE", "state": "relaxed", "total_magnetization_mub_per_fu": 0.000, "e_form_ev_per_atom": -0.39, "cell": [[4.1648, 2.4046, 1.7223], [-4.1648, 2.4046, 1.7223], [0.0000, -4.8091, 1.7223]], "species": ["Li", "Li", "Li", "Cu", "Pt", "Pt", "Pt"], "frac_coords": [[0.0007, 0.4997, 0.4997], [0.4997, 0.0007, 0.4997], [0.4997, 0.4997, 0.0007], [0.9995, 0.9995, 0.9995], [0.9997, 0.9997, 0.4998], [0.9997, 0.4998, 0.9997], [0.4998, 0.9997, 0.9997]]}

=====

{"formula": "LiCuPt", "functional": "GGA-PBE", "state": "relaxed", "total_magnetization_mub_per_fu": 0.000, "e_form_ev_per_atom": -0.35, "cell": [[2.2683, -3.9863, 0.0000], [2.2683, 3.9863, 0.0000], [-1.6739, 0.0000, 4.4362]], "species": ["Li", "Li", "Cu", "Cu", "Pt", "Pt"], "frac_coords": [[0.0000, 0.0000, 0.0000], [0.6652, 0.3348, 0.0000], [0.1728, 0.8272, 0.5000], [0.8341, 0.1659, 0.5000], [0.3280, 0.6720, 0.0000], [0.5047, 0.4953, 0.5000]]}

=====

{"formula": "LiCu3Pt2", "functional": "GGA-PBE", "state": "relaxed", "total_magnetization_mub_per_fu": 0.000, "e_form_ev_per_atom": -0.22, "cell": [[1.9057, -5.6872, 0.0000], [1.9057, 5.6872, 0.0000], [0.0000, 0.0000, 3.6786]], "species": ["Li", "Cu", "Cu", "Cu", "Pt", "Pt"], "frac_coords": [[0.0000, 0.0000, 0.0000], [0.1669, 0.8331, 0.5000], [0.5000, 0.5000, 0.5000], [0.8331, 0.1669, 0.5000], [0.3404, 0.6596, 0.0000], [0.6596, 0.3404, 0.0000]]}

=====

{"formula": "LiCuPt", "functional": "GGA-PBE", "state": "relaxed", "total_magnetization_mub_per_fu": 0.000, "e_form_ev_per_atom": -0.36, "cell": [[4.2233, -1.8769, 0.0000], [4.2233, 1.8769, 0.0000], [-2.0589, 0.0000, 5.0754]], "species": ["Li", "Li", "Cu", "Cu", "Pt", "Pt"], "frac_coords": [[0.1638, 0.1638, 0.3322], [0.8362, 0.8362, 0.6678], [0.1649, 0.1649, 0.8454], [0.8351, 0.8351, 0.1546], [0.5000, 0.5000, 0.0000], [0.5000, 0.5000, 0.5000]]}

=====

{"formula": "LiCuPt", "functional": "GGA-PBE", "state": "relaxed", "total_magnetization_mub_per_fu": 0.000, "e_form_ev_per_atom": -0.23, "cell": [[0.0000, 2.2759, 6.6244], [1.3799, 0.0000, 6.6244], [1.3799, 2.2759, 0.0000]], "species": ["Li", "Cu", "Pt"], "frac_coords": [[0.0000, 0.0000, 0.0000], [0.6619, 0.6619, 0.3381], [0.3363, 0.3363, 0.6637]]}

=====

{"formula": "Li6CuPt", "functional": "GGA-PBE", "state": "relaxed", "total_magnetization_mub_per_fu": 0.000, "e_form_ev_per_atom": -0.20, "cell": [[4.4978, 0.0000, 0.0000], [0.0000, 2.7627, 4.7746], [0.0000, -2.7627, 4.7746]], "species": ["Li", "Li", "Li", "Li", "Li", "Li", "Cu", "Pt"], "frac_coords": [[0.0000, 0.0000, 0.0000], [0.0000, 0.9999, 0.5325], [0.0000, 0.5325, 0.9999], [0.5000, 0.3489, 0.3489], [0.5000, 0.3490, 0.8320], [0.5000, 0.8320, 0.3490], [0.0000, 0.5110, 0.5110], [0.5000, 0.8434, 0.8434]]}

=====

{"formula": "LiCuPt2", "functional": "GGA-PBE", "state": "relaxed", "total_magnetization_mub_per_fu": 0.000, "e_form_ev_per_atom": -0.36, "cell": [[1.3721, 0.7922, 8.6631], [-1.3721, 0.7922, 8.6631], [0.0000, -1.5844, 8.6631]], "species": ["Li", "Cu", "Pt", "Pt"], "frac_coords": [[0.0000, 0.0000, 0.0000], [0.1666, 0.1666, 0.1666], [0.4164, 0.4164, 0.4164], [0.5836, 0.5836, 0.5836]]}

=====

{"formula": "LiCuPt2", "functional": "GGA-PBE", "state": "relaxed", "total_magnetization_mub_per_fu": 0.000, "e_form_ev_per_atom": -0.36, "cell": [[2.7459, -3.6495, 0.0000], [2.7459, 3.6495, 0.0000], [0.0000, 0.0000, 2.7522]], "species": ["Li", "Cu", "Pt", "Pt"], "frac_coords": [[0.0000, 0.0000, 0.0000], [0.5000, 0.5000, 0.0000], [0.0000, 0.5000, 0.5000], [0.5000, 0.0000, 0.5000]]}

=====

{"formula": "LiCu6Pt2", "functional": "GGA-PBE", "state": "relaxed", "total_magnetization_mub_per_fu": 0.000, "e_form_ev_per_atom": -0.03, "cell": [[4.1801, -2.5298, 0.0000], [4.1801, 2.5298, 0.0000], [-1.8074, 0.0000, 5.8343]], "species": ["Li", "Cu", "Cu", "Cu", "Cu", "Cu", "Cu", "Pt", "Pt"], "frac_coords": [[0.0000, 0.0000, 0.0000], [0.1500, 0.6515, 0.6167], [0.1927, 0.1927, 0.7613], [0.3485, 0.8500, 0.3833], [0.6515, 0.1500, 0.6167], [0.8073, 0.8073, 0.2387], [0.8500, 0.3485, 0.3833], [0.3149, 0.3149, 0.1962], [0.6851, 0.6851, 0.8038]]}

=====

{"formula": "Li5Cu6Pt", "functional": "GGA-PBE", "state": "relaxed", "total_magnetization_mub_per_fu": 0.000, "e_form_ev_per_atom": -0.13, "cell": [[2.2503, -3.8966, 0.0000], [2.2503, 3.8966, 0.0000], [-1.4708, 0.0000, 8.7151]], "species": ["Li", "Li", "Li", "Li", "Li", "Cu", "Cu", "Cu", "Cu", "Cu", "Cu", "Pt"], "frac_coords": [[0.0000, 0.0000, 0.0000], [0.1667, 0.8333, 0.5000], [0.3316, 0.6684, 0.0000], [0.6684, 0.3316, 0.0000], [0.8333, 0.1667, 0.5000], [0.0855, 0.4170, 0.2481], [0.2515, 0.2515, 0.7528], [0.4170, 0.0855, 0.2481], [0.5830, 0.9145, 0.7519], [0.7485, 0.7485, 0.2472], [0.9145, 0.5830, 0.7519], [0.5000, 0.5000, 0.5000]]}